(1)
DFT (GGA-PBE) results for a geometry-optimized MgZnSb2 structure.

ΔE to the lowest computed polymorph   90.3 meV/atom
D(E_F)   0.3917 states/eV per atom
Raw formation energy   63 meV/atom
Total DFT energy (no corrections)   -10.863 eV for the cell shown
Crystal system   orthorhombic

```
data_MgZnSb2
_chemical_formula_sum 'Mg1 Zn1 Sb2'
_cell_length_a 3.1623
_cell_length_b 3.1623
_cell_length_c 9.7386
_cell_angle_alpha 90.00
_cell_angle_beta 90.00
_cell_angle_gamma 97.49
_symmetry_space_group_name_H-M 'P 1'
_symmetry_Int_Tables_number 1
loop_
_symmetry_equiv_pos_as_xyz
'x,y,z'
loop_
_atom_site_label
_atom_site_fract_x
_atom_site_fract_y
_atom_site_fract_z
_atom_site_occupancy
Mg1 0.0000 0.0000 0.0000 1
Zn1 0.5000 0.5000 0.2024 1
Sb1 0.0000 0.0000 0.4158 1
Sb2 0.5000 0.5000 0.7681 1
```

(2)
DFT (GGA-PBE) results for a geometry-optimized Mg2ZnSb2 structure.

ΔE to the lowest computed polymorph   0.0 meV/atom
D(E_F)   0.2031 states/eV per atom
Raw formation energy   -247 meV/atom
Total DFT energy (no corrections)   -13.941 eV for the cell shown
Crystal system   trigonal

```
data_Mg2ZnSb2
_chemical_formula_sum 'Mg2 Zn1 Sb2'
_cell_length_a 4.4750
_cell_length_b 4.4750
_cell_length_c 7.2968
_cell_angle_alpha 90.00
_cell_angle_beta 90.00
_cell_angle_gamma 120.00
_symmetry_space_group_name_H-M 'P 1'
_symmetry_Int_Tables_number 1
loop_
_symmetry_equiv_pos_as_xyz
'x,y,z'
loop_
_atom_site_label
_atom_site_fract_x
_atom_site_fract_y
_atom_site_fract_z
_atom_site_occupancy
Mg1 0.0000 0.0000 0.0000 1
Mg2 0.3333 0.6667 0.6308 1
Zn1 0.6667 0.3333 0.2443 1
Sb1 0.0000 0.0000 0.3900 1
Sb2 0.6667 0.3333 0.8462 1
```

(3)
DFT (GGA-PBE) results for a geometry-optimized MgZn4Sb structure.

D(E_F)   0.5495 states/eV per atom
Raw formation energy   53 meV/atom
Total DFT energy (no corrections)   -10.498 eV for the cell shown
Crystal system   cubic

```
data_MgZn4Sb
_chemical_formula_sum 'Mg1 Zn4 Sb1'
_cell_length_a 5.3718
_cell_length_b 5.3718
_cell_length_c 5.3718
_cell_angle_alpha 60.00
_cell_angle_beta 60.00
_cell_angle_gamma 60.00
_symmetry_space_group_name_H-M 'P 1'
_symmetry_Int_Tables_number 1
loop_
_symmetry_equiv_pos_as_xyz
'x,y,z'
loop_
_atom_site_label
_atom_site_fract_x
_atom_site_fract_y
_atom_site_fract_z
_atom_site_occupancy
Mg1 0.0000 0.0000 0.0000 1
Zn1 0.3743 0.3743 0.3743 1
Zn2 0.3743 0.3743 0.8770 1
Zn3 0.3743 0.8770 0.3743 1
Zn4 0.8770 0.3743 0.3743 1
Sb1 0.7500 0.7500 0.7500 1
```

Among the records above, which one has the highest raw formation energy?
MgZnSb2